# Rb3Tl3Pb2 GGA-PBE relaxed
data_Rb3Tl3Pb2
_chemical_formula_sum 'Rb6 Tl6 Pb4'
_space_group_name_H-M_alt 'P 1'
_space_group_IT_number 1
_space_group_name_Hall 'P 1'
_cell_length_a 6.424
_cell_length_b 6.424
_cell_length_c 18.851
_cell_angle_alpha 90.00
_cell_angle_beta 90.00
_cell_angle_gamma 126.69
loop_
_atom_site_label
_atom_site_type_symbol
_atom_site_fract_x
_atom_site_fract_y
_atom_site_fract_z
_atom_site_occupancy
Rb1 Rb 0.056 0.944 0.750 1
Rb2 Rb 0.156 0.844 0.541 1
Rb3 Rb 0.156 0.844 0.959 1
Rb4 Rb 0.844 0.156 0.041 1
Rb5 Rb 0.844 0.156 0.459 1
Rb6 Rb 0.944 0.056 0.250 1
Tl1 Tl 0.364 0.636 0.750 1
Tl2 Tl 0.469 0.531 0.598 1
Tl3 Tl 0.469 0.531 0.902 1
Tl4 Tl 0.531 0.469 0.098 1
Tl5 Tl 0.531 0.469 0.402 1
Tl6 Tl 0.636 0.364 0.250 1
Pb1 Pb 0.242 0.758 0.164 1
Pb2 Pb 0.242 0.758 0.336 1
Pb3 Pb 0.758 0.242 0.664 1
Pb4 Pb 0.758 0.242 0.836 1
# energy relative to the elements	-1.5	kcal/mol of atoms
# calculated volume	38.990	A^3/atom